# Gd2MgTl2W4O16

A relaxed Gd2MgTl2W4O16 crystal (PBE+U, Alexandria).

## Properties
For the uncorrected energy, the calculation gives -7.913 eV per atom.

```
data_Gd2MgTl2W4O16
_cell_length_a 7.546
_cell_length_b 7.551
_cell_length_c 7.931
_cell_angle_alpha 90.75
_cell_angle_beta 116.01
_cell_angle_gamma 116.28
_symmetry_space_group_name_H-M 'P 1'
_symmetry_Int_Tables_number 1
loop_
_symmetry_equiv_pos_as_xyz
'x,y,z'
loop_
_atom_site_label
_atom_site_type_symbol
_atom_site_fract_x
_atom_site_fract_y
_atom_site_fract_z
Gd1 Gd 0.000 0.000 0.000
Gd2 Gd 0.480 0.502 0.419
Mg1 Mg 0.861 0.657 0.186
Tl1 Tl 0.019 0.518 0.510
Tl2 Tl 0.489 0.965 0.026
W1 W 0.024 0.042 0.534
W2 W 0.421 0.451 0.890
W3 W 0.523 0.056 0.526
W4 W 0.931 0.428 0.927
O1 O 0.040 0.716 0.036
O2 O 0.100 0.349 0.137
O3 O 0.172 0.519 0.839
O4 O 0.193 0.152 0.834
O5 O 0.259 0.338 0.581
O6 O 0.298 0.994 0.598
O7 O 0.381 0.133 0.303
O8 O 0.433 0.788 0.440
O9 O 0.551 0.532 0.174
O10 O 0.626 0.705 0.887
O11 O 0.677 0.376 0.982
O12 O 0.706 0.379 0.643
O13 O 0.758 0.105 0.795
O14 O 0.802 0.122 0.471
O15 O 0.862 0.799 0.577
O16 O 0.942 0.949 0.275
```